A relaxed structure of LaAgSb. Source: Alexandria via LeMat-Bulk, functional PBEsol.

Results
The volume is 28.994 A^3/atom. The density of states at the Fermi level comes out at 0.766 states/eV/atom. The calculation puts the formation energy from raw total energies at -0.419 eV per atom.

Cell: 7.0334 7.0334 7.0334 Å, 90.00 90.00 90.00°
Space group F-43m (No. 216)
Asymmetric unit:
La (0.0000, 0.0000, 0.0000) (multiplicity 4)
Ag (0.0000, 0.0000, 0.5000) (multiplicity 4)
Sb (0.2500, 0.2500, 0.2500) (multiplicity 4)